Entry from OQMD via LeMat-Bulk: RbTaTc after structural relaxation (PBE).

Relative energy among the computed polymorphs: 0.00 kcal/mol of atoms
Symmetry: F-43m
Crystal system: cubic

Cell: 4.656 4.656 4.656 Å, 60.00 60.00 60.00°
Fractional coordinates of all 3 atoms:
Rb: 0.250 0.250 0.250
Ta: 0.750 0.750 0.750
Tc: 0.000 0.000 0.000

Entry from OQMD via LeMat-Bulk: RbTaTc after structural relaxation (PBE).

Relative energy among the computed polymorphs: 31.84 kcal/mol of atoms
Symmetry: F-43m
Crystal system: cubic

Cell: 4.560 4.560 4.560 Å, 60.00 60.00 60.00°
Fractional coordinates of all 3 atoms:
Ta: 0.250 0.250 0.250
Tc: 0.750 0.750 0.750
Rb: 0.000 0.000 0.000

Entry from OQMD via LeMat-Bulk: Rb2TaTe3 after structural relaxation (PBE).

Symmetry: P-1
Crystal system: triclinic
Final energy: -4.5938 eV per atom

Cell: 7.969 8.330 9.550 Å, 74.35 67.91 66.68°
Fractional coordinates of all 12 atoms:
Te: 0.166 0.373 0.719
Te: 0.613 0.183 0.091
Te: 0.387 0.817 0.909
Te: 0.744 0.055 0.513
Te: 0.256 0.945 0.487
Te: 0.834 0.627 0.281
Ta: 0.616 0.951 0.341
Ta: 0.384 0.049 0.659
Rb: 0.660 0.440 0.691
Rb: 0.909 0.810 0.867
Rb: 0.340 0.560 0.309
Rb: 0.091 0.190 0.133

Entry from OQMD via LeMat-Bulk: RbTaTe after structural relaxation (PBE).

Relative energy among the computed polymorphs: 0.00 kcal/mol of atoms
Symmetry: F-43m
Crystal system: cubic

Cell: 5.324 5.324 5.324 Å, 60.00 60.00 60.00°
Last column: magnetic moment on the atom in μB.
Fractional coordinates of all 3 atoms:
Rb: 0.250 0.250 0.250  0.06
Ta: 0.750 0.750 0.750  2.30
Te: 0.000 0.000 0.000  -0.09

Entry from OQMD via LeMat-Bulk: RbTaTe after structural relaxation (PBE).

Relative energy among the computed polymorphs: 13.64 kcal/mol of atoms
Symmetry: F-43m
Crystal system: cubic

Cell: 5.446 5.446 5.446 Å, 60.00 60.00 60.00°
Fractional coordinates of all 3 atoms:
Rb: 0.000 0.000 0.000
Ta: 0.250 0.250 0.250
Te: 0.750 0.750 0.750

Entry from OQMD via LeMat-Bulk: RbTaTl after structural relaxation (PBE).

Relative energy among the computed polymorphs: 10.59 kcal/mol of atoms
Symmetry: F-43m
Crystal system: cubic

Cell: 5.607 5.607 5.607 Å, 60.00 60.00 60.00°
Fractional coordinates of all 3 atoms:
Ta: 0.250 0.250 0.250
Tl: 0.750 0.750 0.750
Rb: 0.000 0.000 0.000